{"formula": "KOsRu3", "functional": "PBE", "state": "relaxed", "lattice": [[4.424, 0.000, 0.000], [0.000, 4.424, 0.000], [0.000, 0.000, 4.424]], "species": ["K", "Os", "Ru", "Ru", "Ru"], "frac_coords": [[0.000, 0.000, 0.000], [0.500, 0.500, 0.500], [0.000, 0.000, 0.500], [0.000, 0.500, 0.000], [0.500, 0.000, 0.000]], "relative_energy_ev_per_fu": 9.09, "formation_energy_ev_per_atom": 3.32}


{"formula": "LaHg2Mo", "functional": "PBE", "state": "relaxed", "lattice": [[3.152, 0.000, 0.000], [0.000, 3.152, 0.000], [0.000, 0.000, 9.285]], "species": ["La", "Hg", "Hg", "Mo"], "frac_coords": [[0.000, 0.000, 0.000], [0.000, 0.000, 0.463], [0.500, 0.500, 0.717], [0.500, 0.500, 0.255]], "relative_energy_ev_per_fu": 0.40, "formation_energy_ev_per_atom": 0.34}


{"formula": "NbI3O", "functional": "PBE", "state": "relaxed", "lattice": [[5.491, 0.000, 0.000], [0.000, 5.491, 0.000], [0.000, 0.000, 5.491]], "species": ["Nb", "I", "I", "I", "O"], "frac_coords": [[0.000, 0.000, 0.000], [0.000, 0.000, 0.500], [0.000, 0.500, 0.000], [0.500, 0.000, 0.000], [0.500, 0.500, 0.500]], "raw_formation_energy_mev_per_atom": 579}


{"formula": "Tl2PRh", "functional": "PBE", "state": "relaxed", "lattice": [[6.265, 0.000, 0.000], [0.000, 6.265, 0.000], [0.000, 0.000, 11.833]], "species": ["Tl", "Tl", "Tl", "Tl", "Tl", "Tl", "Tl", "Tl", "P", "P", "P", "P", "Rh", "Rh", "Rh", "Rh"], "frac_coords": [[0.248, 0.250, 0.125], [0.250, 0.748, 0.375], [0.250, 0.752, 0.875], [0.252, 0.250, 0.625], [0.748, 0.750, 0.625], [0.750, 0.248, 0.875], [0.750, 0.252, 0.375], [0.752, 0.750, 0.125], [0.000, 0.000, 0.000], [0.000, 0.500, 0.250], [0.500, 0.000, 0.750], [0.500, 0.500, 0.500], [0.000, 0.000, 0.500], [0.000, 0.500, 0.750], [0.500, 0.000, 0.250], [0.500, 0.500, 0.000]], "relative_energy_ev_per_fu": 3.07, "formation_energy_ev_per_atom": 0.61}


{"formula": "Ho3ErPb2C", "functional": "PBE", "state": "relaxed", "lattice": [[4.786, 0.000, 0.000], [0.000, 4.802, 0.000], [0.000, 0.000, 16.021]], "species": ["Ho", "Ho", "Ho", "Ho", "Ho", "Ho", "Er", "Er", "Pb", "Pb", "Pb", "Pb", "C", "C"], "frac_coords": [[0.000, 0.000, 0.000], [0.000, 0.500, 0.157], [0.000, 0.500, 0.843], [0.500, 0.000, 0.343], [0.500, 0.000, 0.657], [0.500, 0.500, 0.500], [0.000, 0.000, 0.500], [0.500, 0.500, 0.000], [0.000, 0.500, 0.358], [0.000, 0.500, 0.642], [0.500, 0.000, 0.142], [0.500, 0.000, 0.858], [0.000, 0.500, 0.000], [0.500, 0.000, 0.500]], "formation_energy_ev_per_atom": -0.56}


{"formula": "MnSb3H", "functional": "PBE", "state": "relaxed", "lattice": [[4.681, 0.000, 0.000], [0.000, 4.681, 0.000], [0.000, 0.000, 4.681]], "species": ["Mn", "Sb", "Sb", "Sb", "H"], "frac_coords": [[0.000, 0.000, 0.000], [0.000, 0.500, 0.500], [0.500, 0.000, 0.500], [0.500, 0.500, 0.000], [0.500, 0.500, 0.500]], "relative_energy_ev_per_fu": 0.00}


{"formula": "CaTa3Br", "functional": "PBE", "state": "relaxed", "lattice": [[4.845, 0.000, 0.000], [0.000, 4.845, 0.000], [0.000, 0.000, 4.845]], "species": ["Ca", "Ta", "Ta", "Ta", "Br"], "frac_coords": [[0.000, 0.000, 0.000], [0.000, 0.500, 0.500], [0.500, 0.000, 0.500], [0.500, 0.500, 0.000], [0.500, 0.500, 0.500]], "raw_formation_energy_mev_per_atom": 1267, "relative_energy_ev_per_fu": 0.00}


{"formula": "Rb2Sc2PaTe6", "functional": "PBE", "state": "relaxed", "lattice": [[3.717, -6.462, 0.000], [3.717, 6.462, 0.000], [-2.437, 0.000, 8.802]], "species": ["Rb", "Rb", "Sc", "Sc", "Pa", "Te", "Te", "Te", "Te", "Te", "Te"], "frac_coords": [[0.164, 0.836, 0.000], [0.836, 0.164, 0.000], [0.332, 0.668, 0.500], [0.668, 0.332, 0.500], [0.000, 0.000, 0.500], [0.065, 0.406, 0.693], [0.283, 0.283, 0.308], [0.406, 0.065, 0.693], [0.594, 0.935, 0.307], [0.717, 0.717, 0.692], [0.935, 0.594, 0.307]], "raw_formation_energy_mev_per_atom": -1143}


{"formula": "LiPrSnTe3", "functional": "PBE", "state": "relaxed", "lattice": [[9.294, 0.000, 0.000], [0.000, 4.340, 0.000], [-2.077, 0.000, 9.552]], "species": ["Li", "Li", "Pr", "Pr", "Sn", "Sn", "Te", "Te", "Te", "Te", "Te", "Te"], "frac_coords": [[0.090, 0.250, 0.090], [0.910, 0.750, 0.910], [0.176, 0.250, 0.731], [0.824, 0.750, 0.269], [0.335, 0.750, 0.342], [0.665, 0.250, 0.658], [0.093, 0.250, 0.379], [0.217, 0.750, 0.985], [0.414, 0.750, 0.662], [0.586, 0.250, 0.338], [0.783, 0.250, 0.015], [0.907, 0.750, 0.621]], "raw_formation_energy_mev_per_atom": -922}


{"formula": "CdTe2PtW", "functional": "PBE", "state": "relaxed", "lattice": [[5.389, 0.000, 0.000], [0.000, 5.389, 0.000], [0.000, 0.000, 4.968]], "species": ["Cd", "Te", "Te", "Pt", "W"], "frac_coords": [[0.000, 0.000, 0.000], [0.000, 0.500, 0.000], [0.500, 0.000, 0.000], [0.000, 0.000, 0.500], [0.500, 0.500, 0.500]], "raw_formation_energy_mev_per_atom": 1710}


{"formula": "RbLiIn11", "functional": "PBE", "state": "relaxed", "lattice": [[3.095, -7.644, 0.000], [3.095, 7.644, 0.000], [-2.596, 0.000, 7.696]], "species": ["Rb", "Li", "In", "In", "In", "In", "In", "In", "In", "In", "In", "In", "In"], "frac_coords": [[0.000, 0.000, 0.000], [0.500, 0.500, 0.500], [0.000, 0.000, 0.500], [0.000, 0.500, 0.000], [0.021, 0.370, 0.365], [0.294, 0.506, 0.781], [0.370, 0.021, 0.365], [0.494, 0.706, 0.219], [0.500, 0.000, 0.000], [0.506, 0.294, 0.781], [0.630, 0.979, 0.635], [0.706, 0.494, 0.219], [0.979, 0.630, 0.635]], "formation_energy_ev_per_atom": -0.06}


{"formula": "SrAsN2", "functional": "PBE", "state": "relaxed", "lattice": [[5.871, 0.000, 0.000], [0.000, 5.871, 0.000], [0.000, 0.000, 7.607]], "species": ["Sr", "Sr", "Sr", "Sr", "As", "As", "As", "As", "N", "N", "N", "N", "N", "N", "N", "N"], "frac_coords": [[0.000, 0.000, 0.000], [0.000, 0.500, 0.250], [0.500, 0.000, 0.750], [0.500, 0.500, 0.500], [0.000, 0.000, 0.500], [0.000, 0.500, 0.750], [0.500, 0.000, 0.250], [0.500, 0.500, 0.000], [0.162, 0.250, 0.625], [0.250, 0.662, 0.875], [0.250, 0.838, 0.375], [0.338, 0.250, 0.125], [0.662, 0.750, 0.125], [0.750, 0.162, 0.375], [0.750, 0.338, 0.875], [0.838, 0.750, 0.625]], "raw_formation_energy_mev_per_atom": 12}


Let's list spin magnetization in order: 0.000, 0.000, 0.000, 0.000, 0.000, 0.831, 0.000, 0.098, 0.000, 0.693, 0.000, 0.000 μB/atom.